Below is K4Ac3ScO8 after structural relaxation, with properties calculated at the GGA-PBE level.

abc: 7.4338 7.6461 7.4337
angles: 119.10 120.00 90.00
Positions (direct):
1 K 0.5000 0.0000 0.0000
2 K 0.0000 0.0000 0.5000
3 K 0.0000 0.0000 0.0000
4 K 0.5000 0.0000 0.5000
5 O 0.2138 0.6863 0.9726
6 O 0.7862 0.3137 0.0274
7 O 0.7861 0.3136 0.5722
8 O 0.7338 0.7014 0.4676
9 O 0.7588 0.6863 0.9726
10 O 0.2412 0.3137 0.0274
11 O 0.2139 0.6864 0.4278
12 O 0.2662 0.2986 0.5324
13 Ac 0.5000 0.5000 0.0000
14 Ac 0.5000 0.5000 0.5000
15 Ac 0.0000 0.5000 0.5000
16 Sc 0.0000 0.5000 0.0000

Properties
Formation energy from raw total energies in eV per atom: -2.54
Mass density in g/cm³: 5.5
Space group: R-3m